An optimized crystal structure of TaTi5Ga2, computed with PBE.

Formation energy from the elements   -3.23 kcal/mol of atoms
Space-group type   Immm
Volume   16.86 Å³/atom
Final energy   -58.5 eV for the cell shown

Cell: 2.9149 6.9831 6.9831 Å, 80.72 77.95 77.95°
Closest atoms and distances in Å follow each position.
Fractional coordinates of all 8 atoms:
Ta1 0.0000 0.0000 0.0000  4 Ga 2.85, 2 Ta 2.91, 8 Ti 3.16
Ti1 0.0000 0.5000 0.5000  2 Ga 2.67, 10 Ti 2.86-2.91
Ti2 0.6315 0.5960 0.1411  7 Ti 2.69-2.91, 3 Ga 2.70-2.85
Ti3 0.3685 0.4040 0.8589  7 Ti 2.69-2.91, 3 Ga 2.70-2.85
Ti4 0.3685 0.8589 0.4040  7 Ti 2.69-2.91, 3 Ga 2.70-2.85
Ti5 0.6315 0.1411 0.5960  7 Ti 2.69-2.91, 3 Ga 2.70-2.85
Ga1 0.7389 0.7611 0.7611  7 Ti 2.67-2.85, 2 Ta 2.85, 2 Ga 2.91
Ga2 0.2611 0.2389 0.2389  7 Ti 2.67-2.85, 2 Ta 2.85, 2 Ga 2.91